Sm4Tm4Sc | Alexandria | PBE | relaxed; ΔE_f = 0.6777 eV per atom; crystal system = tetragonal; space group = I-42m
1.0
-2.632 2.632 11.614
2.632 -2.632 11.614
2.632 2.632 -11.614
Sm Tm Sc
4 4 1
Direct
0.127 0.127 0.506 Sm
0.379 0.873 0.000 Sm
0.621 0.621 0.494 Sm
0.873 0.379 0.000 Sm
0.000 0.500 0.500 Tm
0.248 0.248 0.000 Tm
0.500 0.000 0.500 Tm
0.752 0.752 0.000 Tm
0.500 0.500 0.000 Sc

---

Sm3TmSc6 | Alexandria | PBE | relaxed; ΔE_f = 0.4028 eV per atom; crystal system = trigonal; space group = R-3
1.0
4.654 2.687 3.754
-4.654 2.687 3.754
0.000 -5.374 3.754
Sm Tm Sc
3 1 6
Direct
0.000 0.000 0.000 Sm
0.250 0.250 0.250 Sm
0.750 0.750 0.750 Sm
0.500 0.500 0.500 Tm
0.081 0.422 0.747 Sc
0.253 0.919 0.578 Sc
0.422 0.747 0.081 Sc
0.578 0.253 0.919 Sc
0.747 0.081 0.422 Sc
0.919 0.578 0.253 Sc

---

Sm8TmSc2 | Alexandria | PBE | relaxed; ΔE_f = 0.1618 eV per atom; crystal system = monoclinic; space group = C2/m
1.0
4.478 -8.012 0.000
4.478 8.012 0.000
-3.108 0.000 4.931
Sm Tm Sc
8 1 2
Direct
0.097 0.335 0.672 Sm
0.208 0.792 0.000 Sm
0.335 0.097 0.672 Sm
0.422 0.422 0.206 Sm
0.578 0.578 0.794 Sm
0.665 0.903 0.328 Sm
0.792 0.208 0.000 Sm
0.903 0.665 0.328 Sm
0.000 0.000 0.000 Tm
0.310 0.690 0.500 Sc
0.690 0.310 0.500 Sc

---

SmTm4Sc4 | Alexandria | PBE | relaxed; ΔE_f = 0.0542 eV per atom; crystal system = tetragonal; space group = I4/mmm
1.0
-5.109 5.109 2.399
5.109 -5.109 2.399
5.109 5.109 -2.399
Sm Tm Sc
1 4 4
Direct
0.000 0.000 0.000 Sm
0.000 0.330 0.330 Tm
0.000 0.670 0.670 Tm
0.330 0.000 0.330 Tm
0.670 0.000 0.670 Tm
0.332 0.332 0.664 Sc
0.332 0.668 0.000 Sc
0.668 0.332 0.000 Sc
0.668 0.668 0.336 Sc

---

Sm2TmSc3 | Alexandria | PBE | relaxed; ΔE_f = 0.2419 eV per atom; crystal system = trigonal; space group = P-3m1
1.0
6.272 0.000 0.000
-3.136 5.431 0.000
0.000 0.000 10.488
Sm Tm Sc
4 2 6
Direct
0.000 0.000 0.000 Sm
0.000 0.000 0.500 Sm
0.333 0.667 0.066 Sm
0.667 0.333 0.934 Sm
0.333 0.667 0.440 Tm
0.667 0.333 0.560 Tm
0.170 0.341 0.746 Sc
0.170 0.830 0.746 Sc
0.341 0.170 0.254 Sc
0.659 0.830 0.746 Sc
0.830 0.170 0.254 Sc
0.830 0.659 0.254 Sc

---

SmTm8Sc2 | Alexandria | PBE | relaxed; ΔE_f = 0.0413 eV per atom; crystal system = monoclinic; space group = C2/m
1.0
8.823 -2.443 0.000
8.823 2.443 0.000
-2.057 0.000 7.472
Sm Tm Sc
1 8 2
Direct
0.000 0.000 0.000 Sm
0.094 0.094 0.459 Tm
0.183 0.183 0.911 Tm
0.360 0.360 0.810 Tm
0.453 0.453 0.274 Tm
0.547 0.547 0.726 Tm
0.640 0.640 0.190 Tm
0.817 0.817 0.089 Tm
0.906 0.906 0.541 Tm
0.272 0.272 0.365 Sc
0.728 0.728 0.635 Sc

---

Sm3Tm5Sc2 | Alexandria | PBE | relaxed; ΔE_f = 0.1954 eV per atom; crystal system = monoclinic; space group = C2/c
1.0
5.250 -7.956 0.000
5.250 7.956 0.000
-5.244 0.000 7.375
Sm Tm Sc
6 10 4
Direct
0.023 0.269 0.046 Sm
0.236 0.764 0.750 Sm
0.269 0.023 0.546 Sm
0.731 0.977 0.454 Sm
0.764 0.236 0.250 Sm
0.977 0.731 0.954 Sm
0.031 0.969 0.750 Tm
0.152 0.367 0.763 Tm
0.273 0.727 0.250 Tm
0.367 0.152 0.263 Tm
0.470 0.530 0.250 Tm
0.530 0.470 0.750 Tm
0.633 0.848 0.737 Tm
0.727 0.273 0.750 Tm
0.848 0.633 0.237 Tm
0.969 0.031 0.250 Tm
0.238 0.464 0.453 Sc
0.464 0.238 0.953 Sc
0.536 0.762 0.047 Sc
0.762 0.536 0.547 Sc

---

SmTm7Sc3 | Alexandria | PBE | relaxed; ΔE_f = 0.1646 eV per atom; crystal system = monoclinic; space group = C2/m
1.0
3.326 -8.941 0.000
3.326 8.941 0.000
-0.106 0.000 10.841
Sm Tm Sc
2 14 6
Direct
0.000 0.000 0.000 Sm
0.500 0.500 0.500 Sm
0.086 0.412 0.536 Tm
0.090 0.415 0.963 Tm
0.164 0.346 0.250 Tm
0.245 0.245 0.749 Tm
0.346 0.164 0.250 Tm
0.412 0.086 0.536 Tm
0.415 0.090 0.963 Tm
0.585 0.910 0.037 Tm
0.588 0.914 0.464 Tm
0.654 0.836 0.750 Tm
0.755 0.755 0.251 Tm
0.836 0.654 0.750 Tm
0.910 0.585 0.037 Tm
0.914 0.588 0.464 Tm
0.000 0.000 0.500 Sc
0.247 0.750 0.750 Sc
0.250 0.753 0.250 Sc
0.500 0.500 0.000 Sc
0.750 0.247 0.750 Sc
0.753 0.250 0.250 Sc

---

SmTm4Sc4 | Alexandria | PBE | relaxed; ΔE_f = 0.2735 eV per atom; crystal system = tetragonal; space group = P4_2/nmc
1.0
6.724 0.000 0.000
0.000 6.724 0.000
0.000 0.000 11.735
Sm Tm Sc
2 8 8
Direct
0.250 0.750 0.250 Sm
0.750 0.250 0.750 Sm
0.009 0.250 0.024 Tm
0.250 0.009 0.524 Tm
0.250 0.491 0.524 Tm
0.491 0.250 0.024 Tm
0.509 0.750 0.976 Tm
0.750 0.509 0.476 Tm
0.750 0.991 0.476 Tm
0.991 0.750 0.976 Tm
0.032 0.250 0.307 Sc
0.250 0.032 0.807 Sc
0.250 0.468 0.807 Sc
0.468 0.250 0.307 Sc
0.532 0.750 0.693 Sc
0.750 0.532 0.193 Sc
0.750 0.968 0.193 Sc
0.968 0.750 0.693 Sc

---

Sm7Tm12Sc | Alexandria | PBE | relaxed; ΔE_f = 0.2390 eV per atom; crystal system = trigonal; space group = R-3
1.0
5.895 3.404 5.363
-5.895 3.404 5.363
0.000 -6.807 5.363
Sm Tm Sc
7 12 1
Direct
0.000 0.000 0.000 Sm
0.101 0.420 0.347 Sm
0.347 0.101 0.420 Sm
0.420 0.347 0.101 Sm
0.580 0.653 0.899 Sm
0.653 0.899 0.580 Sm
0.899 0.580 0.653 Sm
0.001 0.885 0.364 Tm
0.115 0.636 0.999 Tm
0.234 0.355 0.747 Tm
0.253 0.766 0.645 Tm
0.355 0.747 0.234 Tm
0.364 0.001 0.885 Tm
0.636 0.999 0.115 Tm
0.645 0.253 0.766 Tm
0.747 0.234 0.355 Tm
0.766 0.645 0.253 Tm
0.885 0.364 0.001 Tm
0.999 0.115 0.636 Tm
0.500 0.500 0.500 Sc

---

SmTm5Sc3 | Alexandria | PBE | relaxed; ΔE_f = 0.5875 eV per atom; crystal system = monoclinic; space group = C2/m
1.0
6.755 -5.320 0.000
6.755 5.320 0.000
-5.949 0.000 8.364
Sm Tm Sc
2 10 6
Direct
0.236 0.236 0.327 Sm
0.764 0.764 0.673 Sm
0.152 0.152 0.593 Tm
0.163 0.633 0.263 Tm
0.280 0.720 0.000 Tm
0.303 0.303 0.989 Tm
0.367 0.837 0.737 Tm
0.633 0.163 0.263 Tm
0.697 0.697 0.011 Tm
0.720 0.280 0.000 Tm
0.837 0.367 0.737 Tm
0.848 0.848 0.407 Tm
0.000 0.000 0.000 Sc
0.027 0.027 0.764 Sc
0.427 0.427 0.740 Sc
0.500 0.500 0.500 Sc
0.573 0.573 0.260 Sc
0.973 0.973 0.236 Sc

---

SmTm4Sc | Alexandria | PBE | relaxed; ΔE_f = 0.1410 eV per atom; crystal system = monoclinic; space group = C2/c
1.0
4.360 -7.157 0.000
4.360 7.157 0.000
-2.068 0.000 5.859
Sm Tm Sc
2 8 2
Direct
0.086 0.914 0.750 Sm
0.914 0.086 0.250 Sm
0.084 0.337 0.878 Tm
0.211 0.596 0.463 Tm
0.337 0.084 0.378 Tm
0.404 0.789 0.037 Tm
0.596 0.211 0.963 Tm
0.663 0.916 0.622 Tm
0.789 0.404 0.537 Tm
0.916 0.663 0.122 Tm
0.499 0.501 0.250 Sc
0.501 0.499 0.750 Sc